First-principles (GGA-PBE) data for crystalline TlMo2Os at its relaxed geometry, as listed in Alexandria.

Unit cell a=2.9198 b=4.5740 c=5.0371 alpha=90.00 beta=90.00 gamma=90.00
With the nearest neighbours (Å) after each atom.
Space group Pmm2 (No. 25)
One atom of each set of equivalent atoms:
Tl  0.0000  0.0000  0.0000 x1  2 Os 2.85, 8 Mo 2.90-2.91, 2 Tl 2.92
Mo  0.5000  0.0000  0.4992 x1  4 Mo 2.73-2.92, 4 Os 2.83, 4 Tl 2.91
Mo  0.5000  0.5000  0.7956 x1  4 Mo 2.73-2.92, 2 Os 2.74, 4 Tl 2.90
Os  0.0000  0.5000  0.3362 x1  6 Mo 2.74-2.83, 2 Tl 2.85, 2 Os 2.92

Results
For the formation energy from the elements, the calculation gives 560 meV per atom. The calculated volume is 16.8 A^3/atom. The calculation puts the density of states at the Fermi level at 0.7745 states/eV/atom. As for the total energy: -8.255 eV/atom. As for the energy relative to the lowest polymorph listed for this composition: 179.3 meV/atom.


First-principles (GGA-PBE) data for crystalline SrLi2In10 at its relaxed geometry, as listed in Alexandria.

Unit cell a=6.0757 b=14.5662 c=15.2774 alpha=90.00 beta=90.00 gamma=90.00
With the nearest neighbours (Å) after each atom.
Space group Fmmm (No. 69)
One atom of each set of equivalent atoms:
Sr  0.0000  0.0000  0.0000 x4  16 In 3.72-3.95, 4 Li 4.11
Li  0.2500  0.0000  0.2500 x8  8 In 2.99-3.08, 2 Li 3.04
In  0.0000  0.1052  0.3858 x16  2 Li 2.99, 6 In 3.06-3.34
In  0.0000  0.1692  0.1821 x16  2 Li 3.08, 6 In 3.14-3.38
In  0.2500  0.2500  0.0000 x8  10 In 3.04-3.38

Results
For the formation energy from the elements, the calculation gives -161 meV per atom. The calculated volume is 26.0 A^3/atom. The calculation puts the density of states at the Fermi level at 0.3702 states/eV/atom. As for the total energy: -2.691 eV/atom.


First-principles (GGA-PBE) data for crystalline KNbTl2Sb at its relaxed geometry, as listed in Alexandria.

Unit cell a=5.7883 b=5.7883 c=5.7125 alpha=90.00 beta=90.00 gamma=90.00
With the nearest neighbours (Å) after each atom.
Space group P4/mmm (No. 123)
One atom of each set of equivalent atoms:
K  0.0000  0.0000  0.0000 x1  2 Nb 2.86, 4 Tl 2.89
Nb  0.0000  0.0000  0.5000 x1  2 K 2.86
Tl  0.0000  0.5000  0.0000 x2  2 K 2.89
Sb  0.5000  0.5000  0.5000 x1  8 Tl 4.07, 4 Nb 4.09

Results
The calculated volume is 38.3 A^3/atom. The calculation puts the density of states at the Fermi level at 0.7958 states/eV/atom. As for the total energy: -2.458 eV/atom.


First-principles (GGA-PBE) data for crystalline CePmRh at its relaxed geometry, as listed in Alexandria.

Unit cell a=6.9176 b=6.9176 c=6.9176 alpha=90.00 beta=90.00 gamma=90.00
With the nearest neighbours (Å) after each atom.
Space group F-43m (No. 216)
One atom of each set of equivalent atoms:
Ce  0.0000  0.0000  0.0000 x4  4 Rh 3.00
Pm  0.0000  0.0000  0.5000 x4  4 Rh 3.00
Rh  0.2500  0.2500  0.2500 x4  4 Ce 3.00, 4 Pm 3.00

Results
For the formation energy from the elements, the calculation gives -372 meV per atom. The calculated volume is 27.6 A^3/atom. The calculation puts the density of states at the Fermi level at 2.7113 states/eV/atom. As for the total energy: -6.384 eV/atom. As for the energy relative to the lowest polymorph listed for this composition: 119.9 meV/atom.


First-principles (GGA-PBE) data for crystalline Mg3Zr12In5 at its relaxed geometry, as listed in Alexandria.

Unit cell a=16.8607 b=16.8607 c=16.8607 alpha=90.00 beta=90.00 gamma=90.00
With the nearest neighbours (Å) after each atom.
Space group Ia-3d (No. 230)
One atom of each set of equivalent atoms:
Mg  0.0000  0.2500  0.1250 x24  8 Zr 2.94-3.06
Zr  0.0049  0.0772  0.6494 x96  2 In 2.84-2.94, 2 Mg 2.94-3.06, 1 Zr 2.99
In  0.0000  0.0000  0.0000 x16  6 Zr 2.84
In  0.0000  0.2500  0.3750 x24  4 Zr 2.94

Results
For the formation energy from the elements, the calculation gives 777 meV per atom. The calculated volume is 30.0 A^3/atom. The calculation puts the density of states at the Fermi level at 1.3881 states/eV/atom. As for the total energy: -5.275 eV/atom.


First-principles (GGA-PBE) data for crystalline YSc12Al3 at its relaxed geometry, as listed in Alexandria.

Unit cell a=4.4631 b=4.4631 c=18.2657 alpha=90.00 beta=90.00 gamma=90.00
With the nearest neighbours (Å) after each atom.
Space group P4/mmm (No. 123)
One atom of each set of equivalent atoms:
Y  0.0000  0.0000  0.0000 x1  12 Sc 3.16-3.37
Sc  0.0000  0.5000  0.1384 x4  2 Al 3.14, 8 Sc 3.16-3.37, 2 Y 3.37
Sc  0.0000  0.5000  0.3799 x4  8 Sc 3.12-3.16, 4 Al 3.13-3.14
Sc  0.5000  0.5000  0.0000 x1  4 Y 3.16, 8 Sc 3.37
Sc  0.5000  0.5000  0.2608 x2  8 Sc 3.12-3.16, 4 Al 3.16
Sc  0.5000  0.5000  0.5000 x1  8 Sc 3.13, 4 Al 3.16
Al  0.0000  0.0000  0.2591 x2  12 Sc 3.14-3.16
Al  0.0000  0.0000  0.5000 x1  12 Sc 3.13-3.16

Results
For the formation energy from the elements, the calculation gives -156 meV per atom. The calculated volume is 22.7 A^3/atom. The calculation puts the density of states at the Fermi level at 1.4525 states/eV/atom. As for the total energy: -6.010 eV/atom.


First-principles (GGA-PBE) data for crystalline PuTiCuTc at its relaxed geometry, as listed in Alexandria.

Unit cell a=6.5052 b=6.5052 c=6.5052 alpha=90.00 beta=90.00 gamma=90.00
With the nearest neighbours (Å) after each atom.
Space group F-43m (No. 216)
One atom of each set of equivalent atoms:
Pu  0.0000  0.0000  0.0000 x4  4 Tc 2.82, 4 Cu 2.82
Ti  0.0000  0.0000  0.5000 x4  4 Cu 2.82, 4 Tc 2.82
Cu  0.2500  0.2500  0.7500 x4  4 Pu 2.82, 4 Ti 2.82
Tc  0.2500  0.2500  0.2500 x4  4 Pu 2.82, 4 Ti 2.82

Results
For the formation energy from the elements, the calculation gives 14 meV per atom. The calculated volume is 17.2 A^3/atom. The calculation puts the density of states at the Fermi level at 1.6788 states/eV/atom. As for the total energy: -9.158 eV/atom.


First-principles (GGA-PBE) data for crystalline Li2CuGe3Pt4 at its relaxed geometry, as listed in Alexandria.

Unit cell a=3.9491 b=3.9491 c=11.1924 alpha=90.00 beta=90.00 gamma=90.00
With the nearest neighbours (Å) after each atom.
Space group P-4m2 (No. 115)
One atom of each set of equivalent atoms:
Li  0.0000  0.5000  0.2203 x2  4 Pt 2.92, 6 Ge 3.16-3.19, 2 Cu 3.16
Cu  0.5000  0.5000  0.0000 x1  4 Pt 2.56, 4 Ge 2.79
Ge  0.0000  0.0000  0.0000 x1  4 Pt 2.56, 4 Cu 2.79
Ge  0.0000  0.5000  0.6412 x2  5 Pt 2.39-2.53
Pt  0.0000  0.0000  0.5000 x1  4 Ge 2.53, 4 Pt 2.79
Pt  0.0000  0.5000  0.8551 x2  3 Ge 2.39-2.56, 2 Cu 2.56
Pt  0.5000  0.5000  0.5000 x1  4 Ge 2.53, 4 Pt 2.79

Results
For the formation energy from the elements, the calculation gives -465 meV per atom. The calculated volume is 17.5 A^3/atom. The calculation puts the density of states at the Fermi level at 0.3554 states/eV/atom. As for the total energy: -5.059 eV/atom.